# 1
Computed, not measured: a relaxed structure of U3AlTl3S8 at the GGA-PBE level of DFT.

Results
- Electronic total energy: -6.185 eV/atom
- Total magnetization: 7.9 μB/f.u.
- Fermi-level density of states: 13.2 states/eV per cell

abc: 7.8446 7.8446 8.9042
angles: 116.15 90.00 120.00
Site moments in Bohr magnetons follow the coordinates.
Atoms (fractional coordinates):
U: 0.5000 0.0000 0.5000  2.41
U: 0.5000 0.5000 0.5000  2.41
U: 0.0000 0.5000 0.5000  2.41
Al: 0.0000 0.0000 0.5000  0.04
Tl: 0.0000 0.0000 0.0000  0.01
Tl: 0.0000 0.5000 0.0000  0.01
Tl: 0.5000 0.5000 0.0000  0.01
S: 0.2667 0.5333 0.3001  -0.06
S: 0.7333 0.4667 0.6999  -0.06
S: 0.7865 0.5730 0.3187  -0.05
S: 0.2135 0.4270 0.6813  -0.05
S: 0.7866 0.0321 0.3188  -0.05
S: 0.2134 0.9679 0.6812  -0.05
S: 0.2456 0.0321 0.3188  -0.05
S: 0.7544 0.9679 0.6812  -0.05

***

# 2
Computed, not measured: a relaxed structure of Y3AlTl3S8 at the GGA-PBE level of DFT.

Results
- Electronic total energy: -5.508 eV/atom
- Total magnetization: 0.0 μB/f.u.
- Fermi-level density of states: 4.9 states/eV per cell

abc: 7.8871 7.8876 8.6527
angles: 117.06 90.06 120.01
Atoms (fractional coordinates):
Y: 0.5000 0.0000 0.5000
Y: 0.5000 0.5000 0.5000
Y: 0.0000 0.5000 0.5000
Al: 0.0000 0.0000 0.5000
Tl: 0.0000 0.0000 0.0000
Tl: 0.0000 0.5000 0.0000
Tl: 0.5000 0.5000 0.0000
S: 0.2653 0.5309 0.2963
S: 0.7347 0.4691 0.7037
S: 0.7852 0.5706 0.3117
S: 0.2148 0.4294 0.6883
S: 0.7854 0.0262 0.3117
S: 0.2146 0.9738 0.6883
S: 0.2409 0.0263 0.3116
S: 0.7591 0.9737 0.6884

***

# 3
Computed, not measured: a relaxed structure of YAlTl2S4 at the GGA-PBE level of DFT.

Results
- Electronic total energy: -4.920 eV/atom
- Total magnetization: 0.0 μB/f.u.
- Fermi-level density of states: 0.7 states/eV per cell

abc: 8.1484 8.1484 8.3913
angles: 120.99 120.99 90.07
Atoms (fractional coordinates):
Y: 0.0000 0.5000 0.0000
Y: 0.0000 0.5000 0.5000
Al: 0.5000 0.5000 0.5000
Al: 0.0000 0.0000 0.0000
Tl: 0.5000 0.0000 0.0000
Tl: 0.5000 0.0000 0.5000
Tl: 0.0000 0.0000 0.5000
Tl: 0.5000 0.5000 0.0000
S: 0.1946 0.7555 0.9750
S: 0.7445 0.3054 0.5250
S: 0.2555 0.6946 0.4750
S: 0.8054 0.2445 0.0250
S: 0.7605 0.7396 0.9455
S: 0.7604 0.7395 0.5545
S: 0.2396 0.2605 0.4455
S: 0.2395 0.2604 0.0545

***

# 4
Computed, not measured: a relaxed structure of Tm4AlS3 at the GGA-PBE level of DFT.

Results
- Electronic total energy: -5.721 eV/atom
- Total magnetization: 0.0 μB/f.u.
- Fermi-level density of states: 3.1 states/eV per cell

abc: 3.8302 6.9002 6.9002
angles: 108.64 90.00 90.00
Atoms (fractional coordinates):
S: 0.0000 0.0000 0.5000
S: 0.5000 0.5000 0.5000
S: 0.0000 0.5000 0.0000
Tm: 0.0000 0.2596 0.2596
Tm: 0.5000 0.7489 0.2511
Tm: 0.0000 0.7404 0.7404
Tm: 0.5000 0.2511 0.7489
Al: 0.5000 0.0000 0.0000